No. 1
Material: Ta4TiW2
Method: DFT, GGA-PBE
State: relaxed

Unit cell a=5.5487 b=5.5487 c=5.5487 alpha=110.22 beta=109.10 gamma=109.10
Closest atoms and distances in Å follow each position.
Fractional positions:
Ta1 0.0000 0.5000 0.0000  2 Ti 2.77, 4 W 2.77
Ta2 0.5000 0.0000 0.0000  4 W 2.77, 2 Ti 2.77
Ta3 0.5000 0.5000 0.5000  4 W 2.77, 2 Ti 2.77
Ta4 0.0000 0.0000 0.5000  2 Ti 2.77, 4 W 2.77
W1 0.5000 0.5000 0.0000  8 Ta 2.77
W2 0.5000 0.0000 0.5000  8 Ta 2.77
Ti1 0.0000 0.0000 0.0000  8 Ta 2.77

Computed properties:
- energy of formation (meV per atom) = 347



No. 2
Material: SrInCuPd3
Method: DFT, GGA-PBE
State: relaxed

Unit cell a=6.9091 b=5.9852 c=6.8037 alpha=116.09 beta=90.00 gamma=90.00
Closest atoms and distances in Å follow each position.
Fractional positions:
Pd1 0.0000 0.2594 0.0000  2 Cu 2.51, 2 In 2.78
Pd2 0.0000 0.7406 0.0000  2 Cu 2.51, 2 In 2.78
Pd3 0.5000 0.7406 0.0000  2 Cu 2.51, 2 In 2.78
Pd4 0.2500 0.1438 0.2875  1 Cu 2.71, 1 In 2.72, 4 Pd 2.91
Pd5 0.5000 0.2594 0.0000  2 Cu 2.51, 2 In 2.78
Pd6 0.7500 0.8562 0.7125  1 Cu 2.71, 1 In 2.72, 4 Pd 2.91
Sr1 0.2500 0.6858 0.3715  1 Cu 2.89, 6 Pd 3.04-3.20
Sr2 0.7500 0.3142 0.6285  1 Cu 2.89, 6 Pd 3.04-3.20
Cu1 0.2500 0.9224 0.8448  5 Pd 2.51-2.71
Cu2 0.7500 0.0776 0.1552  5 Pd 2.51-2.71
In1 0.2500 0.3659 0.7319  5 Pd 2.72-2.78
In2 0.7500 0.6341 0.2681  5 Pd 2.72-2.78

Computed properties:
- energy of formation (meV per atom) = -311



No. 3
Material: ZnHgPd5
Method: DFT, GGA-PBE
State: relaxed

Unit cell a=7.5392 b=7.5392 c=9.6693 alpha=42.56 beta=42.56 gamma=59.79
Closest atoms and distances in Å follow each position.
Fractional positions:
Pd1 0.7234 0.6267 0.4915  1 Zn 2.54, 7 Pd 2.64-2.84, 1 Hg 2.76
Pd2 0.6267 0.7234 0.9915  1 Zn 2.54, 7 Pd 2.64-2.84, 1 Hg 2.76
Pd3 0.1350 0.8650 0.2500  2 Zn 2.62, 8 Pd 2.66-2.93, 1 Hg 2.72
Pd4 0.2141 0.5255 0.1774  6 Pd 2.64-2.93, 1 Zn 2.75
Pd5 0.7859 0.4745 0.8226  6 Pd 2.64-2.93, 1 Zn 2.75
Pd6 0.3733 0.2766 0.0085  1 Zn 2.54, 7 Pd 2.64-2.84, 1 Hg 2.76
Pd7 0.5255 0.2141 0.6774  6 Pd 2.64-2.93, 1 Zn 2.75
Pd8 0.4745 0.7859 0.3226  6 Pd 2.64-2.93, 1 Zn 2.75
Pd9 0.8650 0.1350 0.7500  2 Zn 2.62, 8 Pd 2.66-2.93, 1 Hg 2.72
Pd10 0.2766 0.3733 0.5085  1 Zn 2.54, 7 Pd 2.64-2.84, 1 Hg 2.76
Hg1 0.7736 0.2264 0.2500  5 Pd 2.72-2.97, 2 Zn 2.96
Hg2 0.2264 0.7736 0.7500  5 Pd 2.72-2.97, 2 Zn 2.96
Zn1 0.0000 0.0000 0.5000  6 Pd 2.54-2.75
Zn2 0.0000 0.0000 0.0000  6 Pd 2.54-2.75

Computed properties:
- offset from the most stable computed form (meV per atom) = 121
- energy of formation (meV per atom) = -9



Number 1: DOS at the Fermi energy 8.64 states/eV per cell. Number 2: DOS at the Fermi energy 4.08 states/eV per cell. Number 3: DOS at the Fermi energy 13.78 states/eV per cell.